[1]
Ce2ZnNi16 | GGA-PBE | relaxed

Cell: 8.3131 8.3131 12.1884 Å, 90.00 90.00 120.00°
With the nearest neighbours (Å) after each atom.
Space group R3m (No. 160, hexagonal axes)
Inequivalent atoms, fractional coordinates:
Ce: 0.0000 0.0000 0.0000 [3 per cell]  18 Ni 2.92-3.23, 1 Zn 3.09
Ce: 0.0000 0.0000 0.3173 [3 per cell]  16 Ni 2.85-3.18
Zn: 0.0000 0.0000 0.7464 [3 per cell]  7 Ni 2.38-2.63
Ni: 0.0000 0.0000 0.5509 [3 per cell]  1 Zn 2.38, 6 Ni 2.51-2.56
Ni: 0.0003 0.2999 0.6553 [18 per cell]  8 Ni 2.39-2.52
Ni: 0.0001 0.5001 0.1558 [9 per cell]  9 Ni 2.39-2.51, 1 Zn 2.57
Ni: 0.0001 0.5001 0.5007 [9 per cell]  8 Ni 2.40-2.52, 1 Zn 2.63
Ni: 0.0002 0.5001 0.8110 [9 per cell]  9 Ni 2.40-2.56

[2]
Ag3W | GGA-PBE | relaxed

Cell: 2.7204 4.2772 5.9212 Å, 90.00 90.00 90.00°
With the nearest neighbours (Å) after each atom.
Space group Pmmm (No. 47)
Inequivalent atoms, fractional coordinates:
Ag: 0.0000 0.0000 0.0000 [1 per cell]  10 Ag 2.72-2.96, 2 W 2.96
Ag: 0.5000 0.5000 0.2594 [2 per cell]  7 Ag 2.72-2.96, 4 W 2.91
W: 0.0000 0.0000 0.5000 [1 per cell]  2 W 2.72, 10 Ag 2.91-2.96

Calculated values
Excess energy over the best structure of this formula in the dataset ... 77 kJ/mol of formula units

[3]
K3Sm2PbS6 | GGA-PBE | relaxed

Cell: 7.2017 12.4705 7.7834 Å, 90.00 107.95 90.00°
With the nearest neighbours (Å) after each atom.
Space group C2/m (No. 12)
Inequivalent atoms, fractional coordinates:
K: 0.0000 0.0000 0.0000 [2 per cell]  6 S 3.20-3.25
K: 0.0000 0.3360 0.0000 [4 per cell]  6 S 3.22-3.25
Sm: 0.0000 0.1669 0.5000 [4 per cell]  6 S 2.83
Pb: 0.0000 0.5000 0.5000 [2 per cell]  6 S 2.89
S: 0.2290 0.0000 0.7075 [4 per cell]  2 Sm 2.83, 1 Pb 2.89
S: 0.2394 0.3300 0.7079 [8 per cell]  2 Sm 2.83, 1 Pb 2.89

Calculated values
Uncorrected formation energy ... -1.4492 eV per atom

[4]
DyHoGaAu | GGA-PBE | relaxed

Cell: 7.1944 7.1944 7.1944 Å, 90.00 90.00 90.00°
With the nearest neighbours (Å) after each atom.
Space group F-43m (No. 216)
Inequivalent atoms, fractional coordinates:
Dy: 0.0000 0.0000 0.0000 [4 per cell]  4 Au 3.12, 4 Ga 3.12
Ho: 0.0000 0.0000 0.5000 [4 per cell]  4 Ga 3.12, 4 Au 3.12
Ga: 0.2500 0.2500 0.7500 [4 per cell]  4 Dy 3.12, 4 Ho 3.12
Au: 0.2500 0.2500 0.2500 [4 per cell]  4 Dy 3.12, 4 Ho 3.12

Calculated values
Excess energy over the best structure of this formula in the dataset ... 10 kJ/mol of formula units

| no. | E (eV/atom) | total magnetic moment (μB/cell) |
| --- | --- | --- |
| 1 | -5.7854 | 11.04 |
| 2 | -4.7884 | 0.00 |
| 3 | -4.8828 | 0.00 |
| 4 | -4.5714 | 0.00 |